Entry 1:
Material: DyScTlGa
Method: DFT, PBE-GGA
State: optimized geometry

Output
DOS(E_F) (states/eV/cell): 1.80
Formation energy from the elements (meV/atom): -398
Symmetry: F-43m (216)
Energy above the most stable polymorph in this dataset (meV per atom): 32

Geometry as POSCAR:
```
DyScTlGa
1.0
0.000 3.596 3.596
3.596 0.000 3.596
3.596 3.596 0.000
Dy Sc Tl Ga
1 1 1 1
Cartesian
0.000 0.000 0.000 Dy
3.596 3.596 3.596 Sc
5.393 5.393 5.393 Tl
1.798 1.798 1.798 Ga
```

***

Entry 2:
Material: DyScTlGa
Method: DFT, PBE-GGA
State: optimized geometry

Output
DOS(E_F) (states/eV/cell): 2.11
Formation energy from the elements (meV/atom): -431
Symmetry: P4mm (99)
Energy above the most stable polymorph in this dataset (meV per atom): 0

Geometry as POSCAR:
```
DyScTlGa
1.0
3.510 0.000 0.000
0.000 3.510 0.000
0.000 0.000 7.498
Dy Sc Tl Ga
1 1 1 1
Cartesian
0.000 0.000 0.000 Dy
0.000 0.000 4.037 Sc
1.755 1.755 2.147 Tl
1.755 1.755 5.656 Ga
```

***

Entry 3:
Material: DyScZnGa
Method: DFT, PBE-GGA
State: optimized geometry

Output
DOS(E_F) (states/eV/cell): 3.66
Formation energy from the elements (meV/atom): -484
Symmetry: F-43m (216)

Geometry as POSCAR:
```
DyScZnGa
1.0
0.000 3.462 3.462
3.462 0.000 3.462
3.462 3.462 0.000
Dy Sc Zn Ga
1 1 1 1
Cartesian
0.000 0.000 0.000 Dy
3.462 3.462 3.462 Sc
1.731 1.731 1.731 Zn
5.192 5.192 5.192 Ga
```

***

Entry 4:
Material: DySc2Zn2Ga2
Method: DFT, PBE-GGA
State: optimized geometry

Output
DOS(E_F) (states/eV/cell): 4.46
Formation energy from the elements (meV/atom): -406
Symmetry: R-3m (166)

Geometry as POSCAR:
```
DySc2Zn2Ga2
1.0
2.187 1.263 8.508
-2.187 1.263 8.508
0.000 -2.525 8.508
Dy Sc Zn Ga
1 2 2 2
Cartesian
0.000 0.000 0.000 Dy
0.000 0.000 3.323 Sc
0.000 0.000 22.201 Sc
0.000 0.000 10.375 Zn
0.000 0.000 15.149 Zn
0.000 0.000 6.520 Ga
0.000 0.000 19.003 Ga
```

***

Entry 5:
Material: Dy8GaSe6
Method: DFT, PBE-GGA
State: optimized geometry

Output
DOS(E_F) (states/eV/cell): 11.13
Formation energy (no corrections) (eV/atom): -1.2885
Symmetry: P-3 (147)

Geometry as POSCAR:
```
Dy8GaSe6
1.0
10.488 0.000 0.000
-5.244 9.083 0.000
0.000 0.000 4.042
Dy Ga Se
8 1 6
Cartesian
-1.295 2.839 1.001 Dy
-2.138 8.785 1.001 Dy
1.811 2.541 3.041 Dy
0.000 6.055 3.039 Dy
5.244 3.028 1.003 Dy
3.433 6.542 1.001 Dy
7.382 0.298 3.041 Dy
6.539 6.244 3.041 Dy
0.000 0.000 0.000 Ga
-2.033 5.891 1.008 Se
1.159 4.376 1.008 Se
4.370 1.184 3.034 Se
0.874 7.898 1.008 Se
4.085 4.706 3.034 Se
7.277 3.192 3.034 Se
```

***

Entry 6:
Material: Dy2GaSe4
Method: DFT, PBE-GGA
State: optimized geometry

Output
DOS(E_F) (states/eV/cell): 2.64
Formation energy (no corrections) (eV/atom): -1.3626
Symmetry: C2/m (12)

Geometry as POSCAR:
```
Dy2GaSe4
1.0
7.344 -2.029 0.000
7.344 2.029 0.000
-3.375 0.000 6.382
Dy Ga Se
2 1 4
Cartesian
2.655 0.000 1.400 Dy
8.658 0.000 4.981 Dy
5.657 0.000 3.191 Ga
0.333 0.000 3.098 Se
5.382 0.000 0.417 Se
5.931 0.000 5.965 Se
10.980 0.000 3.284 Se
```

***

Entry 7:
Material: Dy5GaSe4
Method: DFT, PBE-GGA
State: optimized geometry

Output
DOS(E_F) (states/eV/cell): 3.18
Formation energy (no corrections) (eV/atom): -1.5781
Symmetry: I4/m (87)

Geometry as POSCAR:
```
Dy5GaSe4
1.0
-4.598 4.598 2.892
4.598 -4.598 2.892
4.598 4.598 -2.892
Dy Ga Se
5 1 4
Cartesian
0.000 0.000 0.000 Dy
3.703 1.902 0.000 Dy
2.695 -0.894 2.892 Dy
1.902 5.492 0.000 Dy
0.894 2.695 2.892 Dy
0.000 0.000 2.892 Ga
6.418 0.898 0.000 Se
0.898 2.777 0.000 Se
3.700 1.821 2.892 Se
-1.821 3.700 2.892 Se
```

***

Entry 8:
Material: Dy6GaSe5
Method: DFT, PBE-GGA
State: optimized geometry

Output
DOS(E_F) (states/eV/cell): 5.72
Formation energy (no corrections) (eV/atom): -1.6067
Symmetry: C2/m (12)

Geometry as POSCAR:
```
Dy6GaSe5
1.0
3.558 -6.149 0.000
3.558 6.149 0.000
-2.355 0.000 6.703
Dy Ga Se
6 1 5
Cartesian
-0.025 1.991 4.983 Dy
1.120 0.000 1.717 Dy
-0.025 -1.991 4.983 Dy
4.786 1.991 1.720 Dy
3.641 0.000 4.986 Dy
4.786 -1.991 1.720 Dy
-1.178 0.000 3.351 Ga
3.558 4.060 0.000 Se
2.381 2.045 3.351 Se
3.558 0.000 0.000 Se
2.381 -2.045 3.351 Se
3.558 -4.060 0.000 Se
```

***

Entry 9:
Material: DyGaSe
Method: DFT, PBE-GGA
State: optimized geometry

Output
DOS(E_F) (states/eV/cell): 3.49
Formation energy (no corrections) (eV/atom): -1.1305
Symmetry: P4/nmm (129)

Geometry as POSCAR:
```
DyGaSe
1.0
3.969 0.000 0.000
0.000 3.969 0.000
0.000 0.000 8.720
Dy Ga Se
2 2 2
Cartesian
0.992 0.992 1.772 Dy
2.977 2.977 6.948 Dy
0.992 2.977 4.360 Ga
2.977 0.992 4.360 Ga
0.992 0.992 7.508 Se
2.977 2.977 1.211 Se
```

***

Entry 10:
Material: Dy7GaSe5
Method: DFT, PBE-GGA
State: optimized geometry

Output
DOS(E_F) (states/eV/cell): 14.89
Formation energy (no corrections) (eV/atom): -1.4550
Symmetry: P2_1/m (11)

Geometry as POSCAR:
```
Dy7GaSe5
1.0
4.014 0.000 0.000
0.000 24.173 0.000
-2.005 0.000 6.693
Dy Ga Se
14 2 10
Cartesian
-0.001 6.043 0.379 Dy
0.000 12.970 1.861 Dy
0.000 23.290 1.861 Dy
0.001 4.358 4.127 Dy
0.001 7.729 4.127 Dy
0.003 14.926 5.449 Dy
0.003 21.333 5.449 Dy
2.006 2.840 1.244 Dy
2.006 9.247 1.244 Dy
2.008 16.444 2.567 Dy
2.008 19.815 2.567 Dy
2.009 0.883 4.832 Dy
2.009 11.203 4.832 Dy
2.010 18.130 6.314 Dy
-0.002 18.130 4.148 Ga
2.011 6.043 2.545 Ga
0.001 15.529 0.708 Se
0.001 20.730 0.708 Se
0.002 1.745 2.989 Se
0.002 10.342 2.989 Se
2.007 0.000 0.000 Se
2.007 12.086 0.000 Se
2.007 13.831 3.705 Se
2.007 22.428 3.705 Se
2.008 3.443 5.986 Se
2.008 8.644 5.986 Se
```

***

Entry 11:
Material: Dy6GaSe4
Method: DFT, PBE-GGA
State: optimized geometry

Output
DOS(E_F) (states/eV/cell): 16.06
Formation energy (no corrections) (eV/atom): -1.3963
Symmetry: Cmcm (63)

Geometry as POSCAR:
```
Dy6GaSe4
1.0
2.006 -6.660 0.000
2.006 6.660 0.000
0.000 0.000 20.702
Dy Ga Se
12 2 8
Cartesian
0.000 0.000 0.000 Dy
0.000 0.000 10.351 Dy
2.006 4.459 15.526 Dy
2.006 3.041 1.966 Dy
2.006 3.041 8.385 Dy
2.006 0.769 13.819 Dy
2.006 0.769 17.234 Dy
2.006 -0.769 3.468 Dy
2.006 -0.769 6.883 Dy
2.006 -3.041 12.317 Dy
2.006 -3.041 18.736 Dy
2.006 -4.459 5.175 Dy
2.006 4.364 5.175 Ga
2.006 -4.364 15.526 Ga
2.006 5.561 12.935 Se
2.006 5.561 18.118 Se
2.006 1.895 11.132 Se
2.006 1.895 19.921 Se
2.006 -1.895 0.781 Se
2.006 -1.895 9.570 Se
2.006 -5.561 2.584 Se
2.006 -5.561 7.767 Se
```

***

Entry 12:
Material: SmDyGaSe
Method: DFT, PBE-GGA
State: optimized geometry

Output
DOS(E_F) (states/eV/cell): 1.77
Formation energy (no corrections) (eV/atom): -1.1777
Symmetry: R3m (160)

Geometry as POSCAR:
```
SmDyGaSe
1.0
2.006 1.158 7.376
-2.006 1.158 7.376
0.000 -2.316 7.376
Sm Dy Ga Se
1 1 1 1
Cartesian
0.000 0.000 0.000 Sm
0.000 0.000 11.137 Dy
0.000 0.000 16.666 Ga
0.000 0.000 5.515 Se
```